# 1
Crystalline K3Y3SbS8 at its relaxed geometry. Source: Alexandria, functional PBE.

extended XYZ file:
```
15
Lattice="8.005 -0.001 0.000 -4.003 6.934 -0.027 0.001 -4.594 7.519" Properties=species:S:1:pos:R:3 pbc="T T T"
K 0.000 0.000 0.000
K -2.002 3.467 -0.014
K 2.001 3.466 -0.013
Y 4.003 -2.298 3.760
Y 2.001 1.169 3.746
Y -2.001 1.170 3.746
Sb 0.000 -2.297 3.759
S 0.000 2.319 2.238
S 4.003 0.020 5.254
S 4.002 2.395 2.278
S 0.001 -0.057 5.214
S 6.070 -1.187 2.292
S -2.067 3.526 5.200
S 1.935 -1.187 2.293
S 2.068 3.525 5.199
```

formation energy without anion corrections = -1.5423 eV/atom
crystal system = trigonal

***

# 2
Crystalline K4Y3SbS8 at its relaxed geometry. Source: Alexandria, functional PBE.

extended XYZ file:
```
16
Lattice="-6.783 4.236 1.499 -4.060 -7.347 2.393 6.924 1.924 3.815" Properties=species:S:1:pos:R:3 pbc="T T T"
K -3.391 2.118 0.749
K 0.071 3.080 2.657
K 0.000 0.000 0.000
K 3.462 0.962 1.908
Y -5.422 -1.555 1.946
Y -1.959 -0.594 3.853
Y 1.432 -2.712 3.104
Sb -2.030 -3.674 1.196
S 2.255 -2.302 5.722
S -1.191 -3.260 3.824
S 0.670 -0.038 3.140
S -1.120 -0.194 6.468
S -2.798 -0.993 1.239
S -4.588 -1.149 4.567
S -2.728 2.072 3.883
S -6.173 1.115 1.984
```

formation energy without anion corrections = -1.5953 eV/atom
crystal system = trigonal

***

# 3
Crystalline K2ZrSbS4 at its relaxed geometry. Source: Alexandria, functional PBE.

extended XYZ file:
```
8
Lattice="6.820 0.295 0.451 -2.639 6.295 -0.451 -2.639 -2.947 5.581" Properties=species:S:1:pos:R:3 pbc="T T T"
K 0.771 4.132 1.282
K 0.000 0.000 0.000
Zr 0.771 -0.489 4.299
Sb -2.639 1.674 2.565
S 1.846 0.671 2.451
S -1.640 -0.436 3.981
S 4.001 3.559 0.804
S -1.124 3.492 3.926
```

formation energy without anion corrections = -1.0030 eV/atom
crystal system = tetragonal

***

# 4
Crystalline K2ZrSb2S6 at its relaxed geometry. Source: Alexandria, functional PBE.

extended XYZ file:
```
11
Lattice="-2.681 1.620 6.589 6.069 -1.947 -1.091 -0.065 8.019 -1.998" Properties=species:S:1:pos:R:3 pbc="T T T"
K 0.417 1.278 3.895
K 2.906 6.415 -0.395
Zr -1.373 4.820 2.295
Sb 2.472 6.073 3.551
Sb 0.852 1.620 -0.052
S 0.879 4.293 3.341
S 4.865 0.580 -0.090
S -0.263 6.340 0.447
S -1.541 7.113 3.589
S 3.586 1.353 3.053
S 2.445 3.400 0.159
```

formation energy without anion corrections = -0.8373 eV/atom
crystal system = monoclinic

***

Asked for ρ across the records above, the calculation gives 3.0; 3.2; 2.8; 3.3 g/cm³ in order.